# ZnSiPdRu

ZnSiPdRu after structural relaxation (PBE-GGA, Alexandria via LeMat-Bulk).

Summary:
As for the space-group type: No. 216. The value obtained for the uncorrected formation energy is -0.397 eV/atom.

a = 4.2412 Å, b = 4.2412 Å, c = 4.2412 Å
α = 60.00°, β = 60.00°, γ = 60.00°
Closest atoms and distances in Å follow each position.
Positions (direct):
Zn (0.0000, 0.0000, 0.0000)  4 Ru 2.60, 4 Pd 2.60
Si (0.5000, 0.5000, 0.5000)  4 Ru 2.60, 4 Pd 2.60
Pd (0.2500, 0.2500, 0.2500)  4 Zn 2.60, 4 Si 2.60
Ru (0.7500, 0.7500, 0.7500)  4 Zn 2.60, 4 Si 2.60